The following is a DFT calculation (PBE-GGA) of crystalline TbNd3Th2P6 at its relaxed geometry.

* E_tot: -7.100 eV/atom
* energy of formation: -1.581 eV/atom
* size of the total moment: 0.0 μB per formula unit
* space group: C2/m (12)

The structure in POSCAR format:
```
TbNd3Th2P6
1.0
7.1687 -0.0043 0.0010
-3.5863 6.2071 0.0010
-1.1943 -2.0680 6.7581
Tb Nd Th P
1 3 2 6
Direct
0.0000 0.0000 0.0000 Tb
0.1666 0.8334 0.5000 Nd
0.8334 0.1666 0.5000 Nd
0.5000 0.5000 0.5000 Nd
0.3334 0.6666 0.0000 Th
0.6666 0.3334 0.0000 Th
0.9189 0.5873 0.7565 P
0.7499 0.7499 0.2444 P
0.0811 0.4127 0.2435 P
0.5873 0.9189 0.7565 P
0.2501 0.2501 0.7556 P
0.4127 0.0811 0.2435 P
```